This record from Alexandria via LeMat-Bulk describes a crystal of TaMo3 relaxed with PBEsol. The functional is meta-GGA SCAN.

It has space group Pmma (No. 51), with a = 3.162 Å, b = 4.460 Å, c = 8.962 Å, α = 90.00°, β = 90.00° and γ = 90.00°. The asymmetric unit holds Ta at (0.250, 0.000, 0.131), Mo at (0.250, 0.000, 0.619), Mo at (0.250, 0.500, 0.376) and Mo at (0.250, 0.500, 0.873).

The calculation puts the formation energy at -113 meV/atom. Its calculated volume is 126 Å³/cell. The calculation puts the total energy at -42.923 eV/atom.



This record from Alexandria via LeMat-Bulk describes a crystal of YSbPt2 relaxed with PBEsol. The functional is meta-GGA SCAN.

It has space group F-43m (No. 216), with a = 6.732 Å, b = 6.732 Å, c = 6.732 Å, α = 90.00°, β = 90.00° and γ = 90.00°. The asymmetric unit holds Y at (0.000, 0.000, 0.000), Sb at (0.250, 0.250, 0.250), Pt at (0.000, 0.000, 0.500) and Pt at (0.250, 0.250, 0.750).

Its calculated volume is 305 Å³/cell. The calculation puts the total energy at -52.000 eV/atom. Its raw formation energy is -0.6277 eV per atom.



This record from Alexandria via LeMat-Bulk describes a crystal of TiGaSb2I relaxed with PBEsol. The functional is meta-GGA SCAN.

It has space group P4/mmm (No. 123), with a = 5.149 Å, b = 5.149 Å, c = 5.518 Å, α = 90.00°, β = 90.00° and γ = 90.00°. The asymmetric unit holds Ti at (0.000, 0.000, 0.000), Ga at (0.500, 0.500, 0.500), Sb at (0.000, 0.500, 0.500) and I at (0.500, 0.500, 0.000).

Its calculated volume is 146 Å³/cell. The calculation puts the total energy at -28.065 eV/atom. Its raw formation energy is 0.6631 eV per atom.



This record from Alexandria via LeMat-Bulk describes a crystal of LiMg2Zn relaxed with PBEsol. The functional is meta-GGA SCAN.

It has space group F-43m (No. 216), with a = 6.599 Å, b = 6.599 Å, c = 6.599 Å, α = 90.00°, β = 90.00° and γ = 90.00°. The asymmetric unit holds Li at (0.000, 0.000, 0.000), Mg at (0.000, 0.000, 0.500), Mg at (0.250, 0.250, 0.250) and Zn at (0.250, 0.250, 0.750).

The calculation puts the formation energy at -83 meV/atom. Its calculated volume is 287 Å³/cell. The calculation puts the total energy at -6.546 eV/atom.